MnSnSO2, optimized geometry, DFT PBE with a Hubbard U; uncorrected energy = -0.2162 Ha/atom; space group = No. 123; D(E_F) = 0.0308 states/eV per atom
1.0
3.9509 0.0000 0.0000
0.0000 3.9509 0.0000
0.0000 0.0000 5.3287
Mn Sn S O
1 1 1 2
direct
0.0000 0.0000 0.0000
0.5000 0.5000 0.5000
0.5000 0.5000 0.0000
0.0000 0.5000 0.5000
0.5000 0.0000 0.5000